No. 1
Here is crystalline SrSb2TeMo at its relaxed geometry from the Alexandria database. Energies are from PBE.

Computed properties:
energy relative to the lowest polymorph listed for this composition = 1894.3 meV per atom
Fermi-level density of states = 3.600 states/eV/atom
formation energy without anion corrections = 1.806 eV per atom
crystal system = tetragonal

a = 5.768 Å, b = 5.768 Å, c = 5.817 Å
α = 90.00°, β = 90.00°, γ = 90.00°
Space group P4/mmm (No. 123)
Asymmetric unit:
Sr  0.000  0.000  0.000
Sb  0.000  0.500  0.000
Te  0.000  0.000  0.500
Mo  0.500  0.500  0.500

***

No. 2
Here is crystalline SrTi2SbMo at its relaxed geometry from the Alexandria database. Energies are from PBE.

Computed properties:
Fermi-level density of states = 1.138 states/eV/atom
formation energy without anion corrections = 0.653 eV per atom
crystal system = tetragonal

a = 4.755 Å, b = 4.755 Å, c = 5.840 Å
α = 90.00°, β = 90.00°, γ = 90.00°
Space group P4/mmm (No. 123)
Asymmetric unit:
Sr  0.000  0.000  0.000
Ti  0.000  0.500  0.500
Sb  0.500  0.500  0.000
Mo  0.000  0.000  0.500

***

No. 3
Here is crystalline Ta3SbMo at its relaxed geometry from the Alexandria database. Energies are from PBE.

Computed properties:
energy relative to the lowest polymorph listed for this composition = 905.1 meV per atom
Fermi-level density of states = 1.437 states/eV/atom
formation energy without anion corrections = 2.134 eV per atom
crystal system = cubic

a = 4.923 Å, b = 4.923 Å, c = 4.923 Å
α = 90.00°, β = 90.00°, γ = 90.00°
Space group Pm-3m (No. 221)
Asymmetric unit:
Ta  0.000  0.000  0.500
Sb  0.000  0.000  0.000
Mo  0.500  0.500  0.500

***

No. 4
Here is crystalline Ta3SbMo at its relaxed geometry from the Alexandria database. Energies are from PBE.

Computed properties:
energy relative to the lowest polymorph listed for this composition = 0.0 meV per atom
Fermi-level density of states = 0.550 states/eV/atom
formation energy without anion corrections = 1.229 eV per atom
crystal system = cubic

a = 4.865 Å, b = 4.865 Å, c = 4.865 Å
α = 90.00°, β = 90.00°, γ = 90.00°
Space group Pm-3m (No. 221)
Asymmetric unit:
Ta  0.000  0.000  0.500
Sb  0.500  0.500  0.500
Mo  0.000  0.000  0.000

***

Number 1: M_tot 0.00 μB/cell. Number 2: M_tot 0.52 μB/cell. Number 3: M_tot 0.00 μB/cell. Number 4: M_tot 0.00 μB/cell.